[1]
First-principles (PBE) data for a geometry-optimized Na3Sc3GaSe8 structure, as listed in Alexandria.

```
Na3Sc3GaSe8
1.0
6.6769 -3.8460 0.0000
6.6769 3.8460 0.0000
-4.4562 0.0000 7.1587
Na Sc Ga Se
3 3 1 8
Direct
0.0000 0.0000 0.0000 Na
0.0000 0.5000 0.0000 Na
0.5000 0.0000 0.0000 Na
0.0000 0.5000 0.5000 Sc
0.5000 0.0000 0.5000 Sc
0.5000 0.5000 0.5000 Sc
0.0000 0.0000 0.5000 Ga
0.2353 0.2353 0.7133 Se
0.2353 0.7425 0.7133 Se
0.2575 0.7647 0.2867 Se
0.2603 0.2603 0.2810 Se
0.7397 0.7397 0.7190 Se
0.7425 0.2353 0.7133 Se
0.7647 0.2575 0.2867 Se
0.7647 0.7647 0.2867 Se
```

Calculated values
The calculated total energy is -73.10 eV/cell. As for the formation energy from raw total energies: -1.2828 eV/atom.

=====

[2]
First-principles (PBE) data for a geometry-optimized Na2SrScGa structure, as listed in Alexandria.

```
Na2SrScGa
1.0
5.7650 0.0000 0.0000
0.0000 5.7650 0.0000
0.0000 0.0000 5.6585
Na Sr Sc Ga
2 1 1 1
Direct
0.0000 0.5000 0.0000 Na
0.5000 0.0000 0.0000 Na
0.0000 0.0000 0.0000 Sr
0.5000 0.5000 0.5000 Sc
0.0000 0.0000 0.5000 Ga
```

Calculated values
Its formation energy from the elements is 0.94 eV per atom. The calculated total energy is -8.99 eV/cell.

=====

[3]
First-principles (PBE) data for a geometry-optimized Na4Sc3GaTe8 structure, as listed in Alexandria.

```
Na4Sc3GaTe8
1.0
4.2238 2.4386 7.5578
-4.2238 2.4386 7.5578
0.0000 -4.8772 7.5578
Na Sc Ga Te
4 3 1 8
Direct
0.0000 0.0000 0.0000 Na
0.0000 0.5000 0.5000 Na
0.5000 0.0000 0.5000 Na
0.5000 0.5000 0.0000 Na
0.0000 0.0000 0.5000 Sc
0.0000 0.5000 0.0000 Sc
0.5000 0.0000 0.0000 Sc
0.5000 0.5000 0.5000 Ga
0.2403 0.2403 0.2403 Te
0.2425 0.7366 0.7366 Te
0.2634 0.2634 0.7575 Te
0.2634 0.7575 0.2634 Te
0.7366 0.2425 0.7366 Te
0.7366 0.7366 0.2425 Te
0.7575 0.2634 0.2634 Te
0.7597 0.7597 0.7597 Te
```

Calculated values
The calculated total energy is -68.30 eV/cell. As for the formation energy from raw total energies: -0.9920 eV/atom.

=====

[4]
First-principles (PBE) data for a geometry-optimized NaScTlGa structure, as listed in Alexandria.

```
NaScTlGa
1.0
0.0000 3.5523 3.5523
3.5523 0.0000 3.5523
3.5523 3.5523 0.0000
Na Sc Tl Ga
1 1 1 1
Direct
0.0000 0.0000 0.0000 Na
0.5000 0.5000 0.5000 Sc
0.7500 0.7500 0.7500 Tl
0.2500 0.2500 0.2500 Ga
```

Calculated values
Its formation energy from the elements is -0.16 eV per atom. The calculated total energy is -13.68 eV/cell.